Material: Er2Ga3Ni4Pt
Method: DFT, PBE
State: relaxed

Cell lengths 3.812, 3.812, 11.099 Å; angles 90.00, 90.00, 90.00 degrees
Fractional positions:
Er1 0.500 0.000 0.261
Er2 0.000 0.500 0.739
Ni1 0.000 0.000 0.000
Ni2 0.500 0.000 0.656
Ni3 0.500 0.500 0.000
Ni4 0.000 0.500 0.344
Ga1 0.000 0.500 0.131
Ga2 0.500 0.000 0.869
Ga3 0.000 0.000 0.500
Pt1 0.500 0.500 0.500

Results
D(E_F) = 0.562 states/eV per atom
DFT total energy = -5.329 eV per atom
Magnetization = 0.00 Bohr magnetons per cell
Volume = 16.13 Å³/atom
Energy of formation from the pure elements = -0.59 eV/atom